(1)
{"formula": "Cd2BiBr", "functional": "PBE-GGA", "state": "relaxed", "lattice": [[4.3922, 0.0000, 0.0000], [2.1961, 3.8038, 0.0000], [2.1961, 1.2679, 7.2740]], "species": ["Bi", "Br", "Cd", "Cd"], "fractional_positions": [[0.0000, 0.0000, 0.0000], [0.5000, 0.5000, 0.5000], [0.2566, 0.2566, 0.2302], [0.7434, 0.7434, 0.7698]], "e_above_lowest_polymorph_ev_per_atom": 0.065, "energy_ev_per_atom": -2.02, "dos_ef_per_ev_cell": 1.72, "density_g_cm3": 7.019, "raw_formation_energy_kj_per_mol_atoms": -16.9}



(2)
{"formula": "NdErNi10", "functional": "PBE-GGA", "state": "relaxed", "lattice": [[3.9605, 0.0000, 0.0000], [0.0000, 4.9105, 0.0000], [0.0000, 0.0000, 8.5000]], "species": ["Nd", "Er", "Ni", "Ni", "Ni", "Ni", "Ni", "Ni", "Ni", "Ni", "Ni", "Ni"], "fractional_positions": [[0.0000, 0.0000, 0.0000], [0.0000, 0.5000, 0.5000], [0.0000, 0.0000, 0.3380], [0.0000, 0.5000, 0.8281], [0.0000, 0.5000, 0.1719], [0.0000, 0.0000, 0.6620], [0.5000, 0.0000, 0.5000], [0.5000, 0.5000, 0.0000], [0.5000, 0.2524, 0.2545], [0.5000, 0.7476, 0.7455], [0.5000, 0.7476, 0.2545], [0.5000, 0.2524, 0.7455]], "ef_ev_per_atom": -0.30, "energy_ev_per_atom": -5.90, "dos_ef_per_ev_cell": 13.74, "density_g_cm3": 9.025}



(3)
{"formula": "MgNi2SbAu", "functional": "PBE-GGA", "state": "relaxed", "lattice": [[4.4539, 0.0000, 0.0000], [0.0000, 5.1162, 0.0000], [0.0000, 0.0000, 4.4539]], "species": ["Sb", "Mg", "Au", "Ni", "Ni"], "fractional_positions": [[0.0000, 0.5000, 0.0000], [0.0000, 0.0000, 0.0000], [0.5000, 0.5000, 0.5000], [0.0000, 0.0000, 0.5000], [0.5000, 0.0000, 0.0000]], "energy_ev_per_atom": -3.10, "dos_ef_per_ev_cell": 4.13, "density_g_cm3": 7.533, "raw_formation_energy_kj_per_mol_atoms": 97.5}



(4)
{"formula": "DyTmTlAg", "functional": "PBE-GGA", "state": "relaxed", "lattice": [[5.2291, 0.0000, 0.0000], [2.6146, 4.5286, 0.0000], [2.6146, 1.5095, 4.2696]], "species": ["Tl", "Tm", "Ag", "Dy"], "fractional_positions": [[0.7500, 0.7500, 0.7500], [0.5000, 0.5000, 0.5000], [0.2500, 0.2500, 0.2500], [0.0000, 0.0000, 0.0000]], "ef_ev_per_atom": -0.33, "energy_ev_per_atom": -3.91, "dos_ef_per_ev_cell": 2.74, "density_g_cm3": 10.572}



(5)
{"formula": "La2TlTe3", "functional": "PBE-GGA", "state": "relaxed", "lattice": [[4.5818, 0.0000, 0.0000], [-2.2909, 3.9679, 0.0000], [0.0000, 0.0000, 24.3241]], "species": ["La", "La", "La", "La", "Tl", "Tl", "Te", "Te", "Te", "Te", "Te", "Te"], "fractional_positions": [[0.3333, 0.6667, 0.9214], [0.6667, 0.3333, 0.0786], [0.6667, 0.3333, 0.4214], [0.3333, 0.6667, 0.5786], [0.0000, 0.0000, 0.2500], [0.0000, 0.0000, 0.7500], [0.0000, 0.0000, 0.0000], [0.3333, 0.6667, 0.1545], [0.3333, 0.6667, 0.3455], [0.0000, 0.0000, 0.5000], [0.6667, 0.3333, 0.6545], [0.6667, 0.3333, 0.8455]], "energy_ev_per_atom": -4.90, "dos_ef_per_ev_cell": 5.08, "density_g_cm3": 6.496, "raw_formation_energy_kj_per_mol_atoms": -124.3}



(6)
{"formula": "LiHo4Se6", "functional": "PBE-GGA", "state": "relaxed", "lattice": [[7.9404, -0.1202, 0.0545], [-0.0540, 7.9411, 0.0545], [0.1212, 0.1202, 7.9396]], "species": ["Li", "Li", "Ho", "Ho", "Ho", "Ho", "Ho", "Ho", "Ho", "Ho", "Se", "Se", "Se", "Se", "Se", "Se", "Se", "Se", "Se", "Se", "Se", "Se"], "fractional_positions": [[0.5000, 0.5000, 0.5000], [0.0000, 0.0000, 0.0000], [0.3605, 0.1395, 0.2500], [0.8605, 0.2500, 0.3605], [0.2500, 0.6395, 0.1395], [0.2500, 0.2500, 0.7500], [0.7500, 0.7500, 0.2500], [0.7500, 0.3605, 0.8605], [0.1395, 0.7500, 0.6395], [0.6395, 0.8605, 0.7500], [0.6835, 0.0596, 0.0851], [0.0851, 0.3165, 0.0596], [0.5851, 0.4404, 0.1835], [0.9404, 0.0851, 0.6835], [0.5596, 0.1835, 0.5851], [0.1835, 0.4149, 0.4404], [0.8165, 0.5851, 0.5596], [0.4404, 0.8165, 0.4149], [0.0596, 0.9149, 0.3165], [0.4149, 0.5596, 0.8165], [0.9149, 0.6835, 0.9404], [0.3165, 0.9404, 0.9149]], "energy_ev_per_atom": -5.40, "dos_ef_per_ev_cell": 9.89, "density_g_cm3": 7.568, "raw_formation_energy_kj_per_mol_atoms": -160.6}